1.
Density functional theory data (PBE) for a relaxed SrP4 crystal.

Computed properties:
- symmetry = Pm-3m
- energy above the lowest structure with this stoichiometry (meV per atom) = 2335
- formation energy (eV per atom) = 1.867
- spin magnetization (μB/f.u.) = 4.05
- DOS at the Fermi energy (states/eV per cell) = 5.325

Cell: 5.9689 5.9689 5.9689 Å, 90.00 90.00 90.00°
Closest atoms and distances in Å follow each position.
Positions (direct):
Sr1 0.0000 0.0000 0.0000  6 P 2.98
P1 0.0000 0.0000 0.5000  2 Sr 2.98
P2 0.0000 0.5000 0.0000  2 Sr 2.98
P3 0.5000 0.0000 0.0000  2 Sr 2.98
P4 0.5000 0.5000 0.5000  12 P 4.22

***

2.
Density functional theory data (PBE) for a relaxed Sr3P2 crystal.

Computed properties:
- symmetry = P-3m1
- energy above the lowest structure with this stoichiometry (meV per atom) = 10
- formation energy (eV per atom) = -1.038
- spin magnetization (μB/f.u.) = 0.00

Cell: 5.0037 5.0037 7.3409 Å, 90.00 90.00 120.00°
Closest atoms and distances in Å follow each position.
Positions (direct):
Sr1 0.0000 0.0000 0.0000  6 P 3.34
Sr2 0.3333 0.6667 0.6651  4 P 2.99-3.21
Sr3 0.6667 0.3333 0.3349  4 P 2.99-3.21
P1 0.3333 0.6667 0.2275  7 Sr 2.99-3.34
P2 0.6667 0.3333 0.7725  7 Sr 2.99-3.34

***

3.
Density functional theory data (PBE) for a relaxed SrP2 crystal.

Computed properties:
- symmetry = P2_1/c
- formation energy (eV per atom) = -0.792
- spin magnetization (μB/f.u.) = 0.00

Cell: 6.1715 11.9832 7.5136 Å, 90.00 126.76 90.00°
Closest atoms and distances in Å follow each position.
Positions (direct):
Sr1 0.0000 0.0000 0.0000  6 P 3.06-3.09
Sr2 0.0000 0.5000 0.5000  6 P 3.06-3.09
Sr3 0.2900 0.1673 0.6857  9 P 3.15-3.43
Sr4 0.2900 0.3327 0.1857  9 P 3.15-3.43
Sr5 0.7100 0.6673 0.8143  9 P 3.15-3.43
Sr6 0.7100 0.8327 0.3143  9 P 3.15-3.43
P1 0.1621 0.6929 0.3338  2 P 2.21
P2 0.1621 0.8071 0.8338  2 P 2.21
P3 0.2920 0.6318 0.9350  2 P 2.21-2.25
P4 0.2920 0.8682 0.4350  2 P 2.21-2.25
P5 0.4325 0.6010 0.2844  2 P 2.21-2.25
P6 0.4325 0.8990 0.7844  2 P 2.21-2.25
P7 0.5675 0.1010 0.2156  2 P 2.21-2.25
P8 0.5675 0.3990 0.7156  2 P 2.21-2.25
P9 0.7080 0.1318 0.5650  2 P 2.21-2.25
P10 0.7080 0.3682 0.0650  2 P 2.21-2.25
P11 0.8379 0.1929 0.1662  2 P 2.21
P12 0.8379 0.3071 0.6662  2 P 2.21

***

4.
Density functional theory data (PBE) for a relaxed SrP3 crystal.

Computed properties:
- symmetry = P6_3/mmc
- formation energy (eV per atom) = -0.103
- spin magnetization (μB/f.u.) = 0.00
- DOS at the Fermi energy (states/eV per cell) = 10.253

Cell: 6.2520 6.2520 9.8004 Å, 90.00 90.00 120.00°
Closest atoms and distances in Å follow each position.
Positions (direct):
Sr1 0.0000 0.0000 0.0000  12 P 3.13-3.37
Sr2 0.0000 0.0000 0.5000  12 P 3.13-3.37
Sr3 0.3333 0.6667 0.2500  12 P 3.04-3.17
Sr4 0.6667 0.3333 0.7500  12 P 3.04-3.17
P1 0.0000 0.5000 0.0000  8 P 2.93-3.13, 4 Sr 3.04-3.13
P2 0.0000 0.5000 0.5000  8 P 2.93-3.13, 4 Sr 3.04-3.13
P3 0.2133 0.4265 0.7500  2 P 2.25
P4 0.2133 0.7867 0.7500  2 P 2.25
P5 0.4265 0.2133 0.2500  2 P 2.25
P6 0.5000 0.0000 0.0000  8 P 2.93-3.13, 4 Sr 3.04-3.13
P7 0.5000 0.0000 0.5000  8 P 2.93-3.13, 4 Sr 3.04-3.13
P8 0.5000 0.5000 0.0000  8 P 2.93-3.13, 4 Sr 3.04-3.13
P9 0.5000 0.5000 0.5000  8 P 2.93-3.13, 4 Sr 3.04-3.13
P10 0.5735 0.7867 0.7500  2 P 2.25
P11 0.7867 0.2133 0.2500  2 P 2.25
P12 0.7867 0.5735 0.2500  2 P 2.25

***

> What is the formula in the third record?

SrP2